CsMnH4Cl3O2: relaxed, GGA+U.

Total DFT energy (no corrections) in eV/atom: -4.704
N(E_F) in states/eV/atom: 0.00
V in A^3/atom: 18.045

Structure (extended XYZ):
```
44
Lattice="-5.1416 -5.0894 -1.9803 -1.2611 -2.1310 8.7511 -8.3194 8.1034 0.7744" Properties=species:S:1:pos:R:3 pbc="T T T"
Cl -6.3663 3.5604 0.7865
Cl -9.9389 3.7922 1.8541
Cl -4.9620 -3.2187 -0.6619
Cl -12.1083 2.0623 4.3201
Cl -5.1932 0.7381 4.9942
Cl -2.6138 -1.1794 3.2251
Cl -9.5289 0.1448 2.5510
Cl -8.9429 1.1424 6.0783
Cl -4.7832 -2.9093 5.6911
Cl -9.7601 4.1017 8.2071
Cl -5.7792 -0.2595 1.4669
Cl -8.3558 -2.6775 6.7587
H -6.7745 1.8989 3.9916
H -7.0686 2.7624 2.6949
H -2.0431 -1.1867 -0.3630
H -8.1890 0.8989 -0.7408
H -8.9314 1.0450 0.6523
H -2.7279 -0.9836 1.0523
H -7.6535 -1.8794 4.8502
H -4.6011 -4.1189 2.8394
H -10.1210 5.0018 4.7058
H -12.6790 2.0696 7.9081
H -6.5331 -0.0160 8.2860
H -7.9476 -1.0160 3.5536
H -11.9942 1.8665 6.4928
H -5.7907 -0.1621 6.8928
H -4.9527 -3.3124 1.5206
H -9.7694 4.1953 6.0246
Cs -7.3805 6.3490 2.8454
Cs -6.3598 3.6750 7.0673
Cs -2.2001 -0.3766 6.6801
Cs -3.2208 2.2973 2.4582
Mn -9.5702 2.3393 3.9164
Mn -5.1519 -1.4564 3.6288
Mn -4.7799 -0.6468 -0.8464
Mn -8.6810 3.6608 -0.3596
O -8.8591 1.4408 -0.2532
O -11.9581 1.5780 7.4401
O -5.1505 -3.3731 2.4896
O -2.7640 -0.6951 0.1051
O -7.3473 -1.7115 3.9230
O -5.8630 -0.5579 7.7983
O -7.3748 2.5944 3.6222
O -9.5716 4.2560 5.0556
```